[1]
TiAuF2 | GGA-PBE | relaxed

Cell: 5.236 5.236 11.227 Å, 90.00 90.00 90.00°
Sites, in units of the cell vectors:
Ti 0.000 0.250 0.375
Ti 0.000 0.750 0.625
Ti 0.500 0.250 0.125
Ti 0.500 0.750 0.875
Au 0.000 0.250 0.875
Au 0.000 0.750 0.125
Au 0.500 0.250 0.625
Au 0.500 0.750 0.375
F 0.000 0.000 0.500
F 0.000 0.500 0.500
F 0.250 0.250 0.250
F 0.250 0.750 0.750
F 0.500 0.000 0.000
F 0.500 0.500 0.000
F 0.750 0.250 0.250
F 0.750 0.750 0.750



[2]
Sm2TmO | GGA-PBE | relaxed

Cell: 3.576 3.576 27.582 Å, 90.00 90.00 120.00°
Sites, in units of the cell vectors:
Sm 0.000 0.000 0.118
Sm 0.000 0.000 0.882
Sm 0.333 0.667 0.548
Sm 0.333 0.667 0.785
Sm 0.667 0.333 0.215
Sm 0.667 0.333 0.452
Tm 0.000 0.000 0.000
Tm 0.333 0.667 0.667
Tm 0.667 0.333 0.333
O 0.000 0.000 0.500
O 0.333 0.667 0.167
O 0.667 0.333 0.833



One value per record, in order, for energy relative to the elements, uncorrected: -1.566, -1.143 eV per atom.
One value per record, in order, for polymorph energy (0 for the lowest one): 0.3928, 0.0000 eV/atom.